# 1
VASP calculation (PBE) on a geometry-optimized MgHg4Pb structure.

Cell lengths 3.2693, 3.4106, 14.0094 Å; angles 92.93, 91.31, 90.06 degrees
Sites, in units of the cell vectors:
Mg  0.0000  0.0000  0.0000
Hg  0.4594  0.9908  0.6813
Hg  0.4884  0.4988  0.8631
Hg  0.5116  0.5012  0.1369
Hg  0.5406  0.0092  0.3187
Pb  0.0000  0.5000  0.5000

Results
Offset from the most stable computed form: 0.0000 eV per atom
Calculated formation energy: -0.031 eV per atom
V: 26.0 A^3/atom
Crystal system: triclinic

***

# 2
VASP calculation (PBE) on a geometry-optimized La2TmPb structure.

Cell lengths 5.6758, 5.6758, 5.6758 Å; angles 60.00, 60.00, 60.00 degrees
Sites, in units of the cell vectors:
La  0.2500  0.2500  0.2500
La  0.7500  0.7500  0.7500
Tm  0.0000  0.0000  0.0000
Pb  0.5000  0.5000  0.5000

Results
Offset from the most stable computed form: 0.1487 eV per atom
Calculated formation energy: -0.178 eV per atom
V: 32.3 A^3/atom
Crystal system: cubic